Here is a geometry-optimized Ba2ZnTcO structure from the Alexandria database. Energies are from PBE.

Unit cell a=6.0769 b=6.0769 c=4.6988 alpha=90.00 beta=90.00 gamma=90.00
Closest atoms and distances in Å follow each position.
Space group P4/mmm (No. 123)
Asymmetric unit:
Ba (0.0000, 0.5000, 0.0000) (multiplicity 2)  2 Zn 3.04
Zn (0.0000, 0.0000, 0.0000) (multiplicity 1)  2 Tc 2.35
Tc (0.0000, 0.0000, 0.5000) (multiplicity 1)  2 Zn 2.35
O (0.5000, 0.5000, 0.5000) (multiplicity 1)  8 Ba 3.84, 4 Tc 4.30

- Formation energy without anion corrections: 0.51 eV per atom
- Total moment: 0.553 μB per atom
- V: 34.70 Å³/atom

***

Here is a geometry-optimized Ba2ZrTc3O12 structure from the Alexandria database. Energies are from PBE.

Unit cell a=7.3354 b=7.3354 c=18.3728 alpha=90.00 beta=90.00 gamma=120.00
Closest atoms and distances in Å follow each position.
Space group R-3m (No. 166, hexagonal axes)
Asymmetric unit:
Ba (0.0000, 0.0000, 0.1699) (multiplicity 6)  3 O 2.63
Zr (0.0000, 0.0000, 0.5000) (multiplicity 3)  6 O 2.13
Tc (0.0000, 0.5000, 0.0000) (multiplicity 9)  6 O 1.91-1.99
O (0.0470, 0.5235, 0.1069) (multiplicity 18)  1 Tc 1.99, 1 Zr 2.13
O (0.0881, 0.5441, 0.3457) (multiplicity 18)  2 Tc 1.91

- Formation energy without anion corrections: -1.98 eV per atom
- Total moment: 0.119 μB per atom
- V: 15.85 Å³/atom

***

Here is a geometry-optimized BaZrTcO6 structure from the Alexandria database. Energies are from PBE.

Unit cell a=5.4596 b=5.4596 c=5.7242 alpha=90.00 beta=90.00 gamma=120.00
Closest atoms and distances in Å follow each position.
Space group P312 (No. 149)
Asymmetric unit:
Ba (0.0000, 0.0000, 0.0000) (multiplicity 1)  6 O 2.74
Zr (0.3333, 0.6667, 0.5000) (multiplicity 1)  6 O 2.11
Tc (0.6667, 0.3333, 0.5000) (multiplicity 1)  6 O 1.94
O (0.3990, 0.0230, 0.6953) (multiplicity 6)  1 Tc 1.94, 1 Zr 2.11

- Formation energy without anion corrections: -2.34 eV per atom
- Total moment: 0.112 μB per atom
- V: 16.42 Å³/atom

***

Here is a geometry-optimized Ba2ZrTcO6 structure from the Alexandria database. Energies are from PBE.

Unit cell a=8.3374 b=8.3374 c=8.3374 alpha=90.00 beta=90.00 gamma=90.00
Closest atoms and distances in Å follow each position.
Space group Fm-3m (No. 225)
Asymmetric unit:
Ba (0.2500, 0.2500, 0.2500) (multiplicity 8)  12 O 2.95
Zr (0.0000, 0.0000, 0.0000) (multiplicity 4)  6 O 2.12
Tc (0.0000, 0.0000, 0.5000) (multiplicity 4)  6 O 2.05
O (0.0000, 0.0000, 0.2545) (multiplicity 24)  1 Tc 2.05, 1 Zr 2.12

- Formation energy without anion corrections: -2.63 eV per atom
- Total moment: 0.298 μB per atom
- V: 14.49 Å³/atom

***

Here is a geometry-optimized BaTeO4 structure from the Alexandria database. Energies are from PBE.

Unit cell a=6.2610 b=7.8864 c=9.1612 alpha=90.00 beta=91.48 gamma=90.00
Closest atoms and distances in Å follow each position.
Space group P2_1/c (No. 14)
Asymmetric unit:
Ba (0.1742, 0.1707, 0.3069) (multiplicity 4)  8 O 2.74-3.01
Te (0.2906, 0.6850, 0.4564) (multiplicity 4)  4 O 1.84-1.85
O (0.0755, 0.6546, 0.9341) (multiplicity 4)  1 Te 1.85
O (0.2172, 0.5201, 0.3215) (multiplicity 4)  1 Te 1.84
O (0.2662, 0.6129, 0.6468) (multiplicity 4)  1 Te 1.84
O (0.4375, 0.2286, 0.5640) (multiplicity 4)  1 Te 1.85

- Formation energy without anion corrections: -1.68 eV per atom
- Total moment: 0.000 μB per atom
- Distance to the lowest polymorph of the same formula: 0.103 eV/atom
- V: 18.84 Å³/atom

***

Here is a geometry-optimized BaTe3O7 structure from the Alexandria database. Energies are from PBE.

Unit cell a=10.4753 b=5.4065 c=15.6567 alpha=90.00 beta=120.03 gamma=90.00
Closest atoms and distances in Å follow each position.
Space group P2_1/c (No. 14)
Asymmetric unit:
Ba (0.0758, 0.2380, 0.3938) (multiplicity 4)  8 O 2.81-3.14
Te (0.2348, 0.2288, 0.2060) (multiplicity 4)  2 O 1.86-1.95
Te (0.3135, 0.7413, 0.1054) (multiplicity 4)  2 O 1.88-1.92
Te (0.4224, 0.6868, 0.9062) (multiplicity 4)  3 O 1.93-2.01
O (0.0637, 0.2121, 0.7113) (multiplicity 4)  1 Te 1.86
O (0.1586, 0.0323, 0.0858) (multiplicity 4)  2 Te 1.95-2.17
O (0.1593, 0.5273, 0.0937) (multiplicity 4)  1 Te 1.92
O (0.2491, 0.7311, 0.4700) (multiplicity 4)  1 Te 1.88
O (0.2559, 0.6212, 0.7685) (multiplicity 4)  2 Te 2.01-2.09
O (0.3979, 0.1504, 0.4359) (multiplicity 4)  1 Te 1.93
O (0.4260, 0.1030, 0.6273) (multiplicity 4)  2 Te 1.96-2.14

- Formation energy without anion corrections: -1.46 eV per atom
- Total moment: 0.000 μB per atom
- V: 17.45 Å³/atom

***

Here is a geometry-optimized BaTe3O structure from the Alexandria database. Energies are from PBE.

Unit cell a=5.0821 b=5.0821 c=5.0821 alpha=90.00 beta=90.00 gamma=90.00
Closest atoms and distances in Å follow each position.
Space group Pm-3m (No. 221)
Asymmetric unit:
Ba (0.0000, 0.0000, 0.0000) (multiplicity 1)  12 Te 3.59
Te (0.0000, 0.5000, 0.5000) (multiplicity 3)  2 O 2.54
O (0.5000, 0.5000, 0.5000) (multiplicity 1)  6 Te 2.54

- Formation energy without anion corrections: -0.67 eV per atom
- Total moment: 0.000 μB per atom
- Distance to the lowest polymorph of the same formula: 0.000 eV/atom
- V: 26.25 Å³/atom

***

Here is a geometry-optimized Ba2TeO structure from the Alexandria database. Energies are from PBE.

Unit cell a=4.4097 b=4.4097 c=22.6179 alpha=90.00 beta=90.00 gamma=120.00
Closest atoms and distances in Å follow each position.
Space group R-3m (No. 166, hexagonal axes)
Asymmetric unit:
Ba (0.0000, 0.0000, 0.2327) (multiplicity 6)  3 O 2.95
Te (0.0000, 0.0000, 0.0000) (multiplicity 3)  6 Ba 3.41
O (0.0000, 0.0000, 0.5000) (multiplicity 3)  6 Ba 2.95

- Formation energy without anion corrections: -1.93 eV per atom
- Total moment: 0.000 μB per atom
- Distance to the lowest polymorph of the same formula: 0.223 eV/atom
- V: 31.74 Å³/atom

***

Here is a geometry-optimized Ba3Te2O structure from the Alexandria database. Energies are from PBE.

Unit cell a=9.9380 b=4.7863 c=19.1510 alpha=90.00 beta=90.00 gamma=90.00
Closest atoms and distances in Å follow each position.
Space group Pnma (No. 62)
Asymmetric unit:
Ba (0.0162, 0.2500, 0.1041) (multiplicity 4)  2 O 2.72
Ba (0.1458, 0.2500, 0.5735) (multiplicity 4)  1 O 2.49
Ba (0.1775, 0.7500, 0.2631) (multiplicity 4)  1 O 2.52
Te (0.0784, 0.7500, 0.7133) (multiplicity 4)  7 Ba 3.52-3.65
Te (0.2496, 0.2500, 0.9538) (multiplicity 4)  6 Ba 3.47-3.73
O (0.1321, 0.7500, 0.1336) (multiplicity 4)  4 Ba 2.49-2.72

- Formation energy without anion corrections: -2.01 eV per atom
- Total moment: 0.000 μB per atom
- Distance to the lowest polymorph of the same formula: 0.000 eV/atom
- V: 37.96 Å³/atom

***

Here is a geometry-optimized BaTe2O structure from the Alexandria database. Energies are from PBE.

Unit cell a=3.6515 b=3.6515 c=27.0512 alpha=90.00 beta=90.00 gamma=120.00
Closest atoms and distances in Å follow each position.
Space group R-3m (No. 166, hexagonal axes)
Asymmetric unit:
Ba (0.0000, 0.0000, 0.0000) (multiplicity 3)  6 Te 3.57, 6 Ba 3.65
Te (0.0000, 0.0000, 0.2267) (multiplicity 6)  3 O 2.66
O (0.0000, 0.0000, 0.5000) (multiplicity 3)  6 Te 2.66

- Formation energy without anion corrections: 0.05 eV per atom
- Total moment: 0.000 μB per atom
- Distance to the lowest polymorph of the same formula: 0.859 eV/atom
- V: 26.03 Å³/atom

***

Here is a geometry-optimized Ba2Te2O structure from the Alexandria database. Energies are from PBE.

Unit cell a=7.5225 b=7.5225 c=5.8182 alpha=90.00 beta=90.00 gamma=90.00
Closest atoms and distances in Å follow each position.
Space group P4/mbm (No. 127)
Asymmetric unit:
Ba (0.1907, 0.3093, 0.0000) (multiplicity 4)  2 O 2.73
Te (0.1305, 0.6305, 0.5000) (multiplicity 4)  1 Te 2.78
O (0.0000, 0.0000, 0.0000) (multiplicity 2)  4 Ba 2.73

- Formation energy without anion corrections: -1.34 eV per atom
- Total moment: 0.000 μB per atom
- Distance to the lowest polymorph of the same formula: 0.000 eV/atom
- V: 32.92 Å³/atom

***

Here is a geometry-optimized BaTe2O4 structure from the Alexandria database. Energies are from PBE.

Unit cell a=6.6114 b=6.7730 c=7.4010 alpha=90.00 beta=101.59 gamma=90.00
Closest atoms and distances in Å follow each position.
Space group C2/m (No. 12)
Asymmetric unit:
Ba (0.0000, 0.0000, 0.0000) (multiplicity 2)  8 O 2.78-2.94
Te (0.0398, 0.5000, 0.3053) (multiplicity 4)  2 O 1.89
O (0.1398, 0.2900, 0.7883) (multiplicity 8)  1 Te 1.89

- Formation energy without anion corrections: -1.46 eV per atom
- Total moment: 0.000 μB per atom
- V: 23.19 Å³/atom

***

Here is a geometry-optimized Ba3Te2O structure from the Alexandria database. Energies are from PBE.

Unit cell a=4.4755 b=6.8580 c=14.2767 alpha=90.00 beta=90.00 gamma=90.00
Closest atoms and distances in Å follow each position.
Space group Immm (No. 71)
Asymmetric unit:
Ba (0.0000, 0.0000, 0.0000) (multiplicity 2)  4 Te 3.37, 2 O 3.43
Ba (0.0000, 0.0000, 0.3683) (multiplicity 4)  2 O 2.92
Te (0.0000, 0.5000, 0.3234) (multiplicity 4)  6 Ba 3.37-3.53
O (0.0000, 0.5000, 0.0000) (multiplicity 2)  4 Ba 2.92

- Formation energy without anion corrections: -1.81 eV per atom
- Total moment: 0.000 μB per atom
- Distance to the lowest polymorph of the same formula: 0.196 eV/atom
- V: 36.52 Å³/atom

***

Here is a geometry-optimized Ba3Te4O11 structure from the Alexandria database. Energies are from PBE.

Unit cell a=8.1591 b=9.6218 c=10.2597 alpha=98.02 beta=111.43 gamma=102.53
Closest atoms and distances in Å follow each position.
Space group P-1 (No. 2)
Asymmetric unit:
Ba (0.1444, 0.4087, 0.1773) (multiplicity 2)  7 O 2.67-2.98
Ba (0.2816, 0.5414, 0.6291) (multiplicity 2)  8 O 2.71-2.91
Ba (0.3110, 0.0163, 0.1153) (multiplicity 2)  6 O 2.69-2.95
Te (0.0522, 0.7565, 0.2812) (multiplicity 2)  3 O 1.88-2.07
Te (0.0704, 0.8770, 0.7043) (multiplicity 2)  3 O 1.89-1.92
Te (0.4433, 0.1966, 0.5379) (multiplicity 2)  3 O 1.87-2.02
Te (0.4657, 0.3046, 0.9420) (multiplicity 2)  3 O 1.89-1.91
O (0.0043, 0.0579, 0.1493) (multiplicity 2)  1 Te 1.90
O (0.0566, 0.6692, 0.1072) (multiplicity 2)  1 Te 1.88
O (0.0672, 0.6006, 0.3734) (multiplicity 2)  1 Te 1.88
O (0.1562, 0.2735, 0.4151) (multiplicity 2)  1 Te 1.92
O (0.1958, 0.7524, 0.7989) (multiplicity 2)  1 Te 1.89
O (0.2609, 0.3501, 0.8098) (multiplicity 2)  1 Te 1.91
O (0.3299, 0.8641, 0.3585) (multiplicity 2)  2 Te 2.02-2.07
O (0.3996, 0.3128, 0.1004) (multiplicity 2)  1 Te 1.89
O (0.4041, 0.0989, 0.8789) (multiplicity 2)  1 Te 1.89
O (0.4619, 0.6055, 0.3585) (multiplicity 2)  1 Te 1.88
O (0.4869, 0.2114, 0.3732) (multiplicity 2)  1 Te 1.87

- Formation energy without anion corrections: -1.81 eV per atom
- Total moment: 0.000 μB per atom
- V: 19.73 Å³/atom

***

Here is a geometry-optimized BaTeO4 structure from the Alexandria database. Energies are from PBE.

Unit cell a=6.0399 b=13.7954 c=5.1481 alpha=90.00 beta=90.00 gamma=90.00
Closest atoms and distances in Å follow each position.
Space group Pbcn (No. 60)
Asymmetric unit:
Ba (0.0000, 0.1638, 0.2500) (multiplicity 4)  6 O 2.70-2.78
Te (0.0000, 0.4330, 0.2500) (multiplicity 4)  6 O 1.88-2.04
O (0.1758, 0.4594, 0.5719) (multiplicity 8)  2 Te 2.00-2.04
O (0.2076, 0.3392, 0.1456) (multiplicity 8)  1 Te 1.88

- Formation energy without anion corrections: -1.78 eV per atom
- Total moment: 0.000 μB per atom
- Distance to the lowest polymorph of the same formula: 0.000 eV/atom
- V: 17.87 Å³/atom

***

Here is a geometry-optimized BaTe2O8 structure from the Alexandria database. Energies are from PBE.

Unit cell a=9.8471 b=6.0294 c=6.4970 alpha=90.00 beta=103.31 gamma=90.00
Closest atoms and distances in Å follow each position.
Space group C2/m (No. 12)
Asymmetric unit:
Ba (0.0000, 0.0000, 0.0000) (multiplicity 2)  6 O 2.68-2.93
Te (0.2459, 0.5000, 0.4719) (multiplicity 4)  6 O 1.85-2.03
O (0.1185, 0.2402, 0.3913) (multiplicity 8)  2 Te 2.00-2.03
O (0.1976, 0.5000, 0.7454) (multiplicity 4)  1 Te 1.94
O (0.2020, 0.0000, 0.7844) (multiplicity 4)  1 Te 1.85

- Formation energy without anion corrections: -0.95 eV per atom
- Total moment: 0.183 μB per atom
- V: 17.06 Å³/atom